! Hf2ZrMoF, optimized geometry, DFT GGA+U; values from VASP
&SYSTEM
  ibrav = 0, nat = 5, ntyp = 4
/
ATOMIC_SPECIES
Mo 95.94 Mo.upf
Hf 178.49 Hf.upf
Zr 91.22 Zr.upf
F 19.00 F.upf
CELL_PARAMETERS angstrom
4.640 0.000 0.000
0.000 4.415 0.000
0.000 0.000 4.640
ATOMIC_POSITIONS angstrom
Mo 0.000 2.207 0.000
Hf 0.000 0.000 2.320
Hf 2.320 0.000 0.000
Zr 2.320 2.207 2.320
F 0.000 0.000 0.000
! N(E_F)   4.15 states/eV per cell
! E_tot   -7.563 eV per atom
! Space-group type   No. 123
! Total magnetic moment   1.9 μB/f.u.